Entry 1:
Density functional theory data (PBE-GGA) for AcPr4Pd4 after structural relaxation.

Values from the calculation:
- DFT formation energy (meV per atom) = -598
- crystal system = tetragonal

a b c (Å): 9.4676 9.4676 6.0002
angles (deg): 90.00 90.00 90.00
With the nearest neighbours (Å) after each atom.
Fractional positions:
Ac 0.2500 0.2500 0.2500  4 Pd 3.03
Ac 0.7500 0.7500 0.7500  4 Pd 3.03
Pr 0.0729 0.6546 0.1711  5 Pd 2.93-3.06
Pr 0.1546 0.9271 0.6711  5 Pd 2.93-3.06
Pr 0.3454 0.5729 0.6711  5 Pd 2.93-3.06
Pr 0.4271 0.8454 0.1711  5 Pd 2.93-3.06
Pr 0.5729 0.1546 0.8289  5 Pd 2.93-3.06
Pr 0.6546 0.4271 0.3289  5 Pd 2.93-3.06
Pr 0.8454 0.0729 0.3289  5 Pd 2.93-3.06
Pr 0.9271 0.3454 0.8289  5 Pd 2.93-3.06
Pd 0.0402 0.6246 0.6670  5 Pr 2.93-3.06, 1 Ac 3.03, 1 Pd 3.19
Pd 0.1246 0.9598 0.1670  5 Pr 2.93-3.06, 1 Ac 3.03, 1 Pd 3.19
Pd 0.3754 0.5402 0.1670  5 Pr 2.93-3.06, 1 Ac 3.03, 1 Pd 3.19
Pd 0.4598 0.8754 0.6670  5 Pr 2.93-3.06, 1 Ac 3.03, 1 Pd 3.19
Pd 0.5402 0.1246 0.3330  5 Pr 2.93-3.06, 1 Ac 3.03, 1 Pd 3.19
Pd 0.6246 0.4598 0.8330  5 Pr 2.93-3.06, 1 Ac 3.03, 1 Pd 3.19
Pd 0.8754 0.0402 0.8330  5 Pr 2.93-3.06, 1 Ac 3.03, 1 Pd 3.19
Pd 0.9598 0.3754 0.3330  5 Pr 2.93-3.06, 1 Ac 3.03, 1 Pd 3.19

=====

Entry 2:
Density functional theory data (PBE-GGA) for AcPr5Pd2 after structural relaxation.

Values from the calculation:
- DFT formation energy (meV per atom) = -318
- crystal system = orthorhombic

a b c (Å): 6.8927 6.8927 19.1092
angles (deg): 90.00 90.00 145.76
With the nearest neighbours (Å) after each atom.
Fractional positions:
Ac 0.1430 0.8570 0.7500  4 Pd 3.35, 3 Pr 3.52-3.68
Ac 0.8570 0.1430 0.2500  4 Pd 3.35, 3 Pr 3.52-3.68
Pr 0.1244 0.8756 0.2500  2 Pd 2.92
Pr 0.1487 0.8513 0.5395  2 Pd 2.91
Pr 0.1487 0.8513 0.9605  2 Pd 2.91
Pr 0.4406 0.5594 0.6091  2 Pd 3.34, 6 Pr 3.48-3.68
Pr 0.4406 0.5594 0.8909  2 Pd 3.34, 6 Pr 3.48-3.68
Pr 0.5594 0.4406 0.1091  2 Pd 3.34, 6 Pr 3.48-3.68
Pr 0.5594 0.4406 0.3909  2 Pd 3.34, 6 Pr 3.48-3.68
Pr 0.8513 0.1487 0.0395  2 Pd 2.91
Pr 0.8513 0.1487 0.4605  2 Pd 2.91
Pr 0.8756 0.1244 0.7500  2 Pd 2.92
Pd 0.2588 0.7412 0.1283  3 Pr 2.91-2.92
Pd 0.2588 0.7412 0.3717  3 Pr 2.91-2.92
Pd 0.7412 0.2588 0.6283  3 Pr 2.91-2.92
Pd 0.7412 0.2588 0.8717  3 Pr 2.91-2.92

=====

Entry 3:
Density functional theory data (PBE-GGA) for Ac4Pr3Pd2 after structural relaxation.

Values from the calculation:
- DFT formation energy (meV per atom) = -314
- crystal system = monoclinic

a b c (Å): 9.3682 9.3682 9.6798
angles (deg): 114.89 114.89 24.99
With the nearest neighbours (Å) after each atom.
Fractional positions:
Ac 0.1235 0.1235 0.3838  6 Pr 3.96-3.98, 2 Pd 4.00-4.16, 5 Ac 4.05-4.08
Ac 0.2690 0.2690 0.8433  2 Pd 3.10
Ac 0.7310 0.7310 0.1567  2 Pd 3.10
Ac 0.8765 0.8765 0.6162  6 Pr 3.96-3.98, 2 Pd 4.00-4.16, 5 Ac 4.05-4.08
Pr 0.4240 0.4240 0.3102  2 Pd 3.03
Pr 0.5000 0.5000 0.0000  4 Pd 3.02
Pr 0.5760 0.5760 0.6898  2 Pd 3.03
Pd 0.1053 0.1053 0.9402  4 Pr 3.02-3.03, 2 Ac 3.10
Pd 0.8947 0.8947 0.0598  4 Pr 3.02-3.03, 2 Ac 3.10

=====

Entry 4:
Density functional theory data (PBE-GGA) for Ac2PrPd9 after structural relaxation.

Values from the calculation:
- DFT formation energy (meV per atom) = -686
- crystal system = trigonal
- distance to the lowest polymorph of the same formula (meV/atom) = 38

a b c (Å): 9.7530 9.7530 9.7530
angles (deg): 32.78 32.78 32.78
With the nearest neighbours (Å) after each atom.
Fractional positions:
Ac 0.1366 0.1366 0.1366  9 Pd 3.13-3.28
Ac 0.8634 0.8634 0.8634  9 Pd 3.13-3.28
Pr 0.0000 0.0000 0.0000  6 Pd 3.18
Pd 0.0812 0.5836 0.5836  7 Pd 2.74-2.82
Pd 0.3330 0.3330 0.3330  6 Pd 2.78-2.80
Pd 0.4164 0.4164 0.9188  7 Pd 2.74-2.82
Pd 0.4164 0.9188 0.4164  7 Pd 2.74-2.82
Pd 0.5000 0.5000 0.5000  6 Pd 2.82
Pd 0.5836 0.0812 0.5836  7 Pd 2.74-2.82
Pd 0.5836 0.5836 0.0812  7 Pd 2.74-2.82
Pd 0.6670 0.6670 0.6670  6 Pd 2.78-2.80
Pd 0.9188 0.4164 0.4164  7 Pd 2.74-2.82

=====

Entry 5:
Density functional theory data (PBE-GGA) for AcPr2Pd after structural relaxation.

Values from the calculation:
- DFT formation energy (meV per atom) = -312
- crystal system = tetragonal
- distance to the lowest polymorph of the same formula (meV/atom) = 89

a b c (Å): 3.7545 3.7545 9.1295
angles (deg): 90.00 90.00 90.00
With the nearest neighbours (Å) after each atom.
Fractional positions:
Ac 0.0000 0.0000 0.0000  4 Ac 3.75, 8 Pr 3.90
Pr 0.5000 0.5000 0.3126  4 Pd 3.16, 1 Pr 3.42
Pr 0.5000 0.5000 0.6874  4 Pd 3.16, 1 Pr 3.42
Pd 0.0000 0.0000 0.5000  8 Pr 3.16

=====

Entry 6:
Density functional theory data (PBE-GGA) for AcPrPd after structural relaxation.

Values from the calculation:
- DFT formation energy (meV per atom) = -432
- crystal system = monoclinic
- distance to the lowest polymorph of the same formula (meV/atom) = 0

a b c (Å): 7.4851 6.3682 11.1168
angles (deg): 90.00 129.56 90.00
With the nearest neighbours (Å) after each atom.
Fractional positions:
Ac 0.1963 0.1411 0.3846  3 Pd 3.03-3.34
Ac 0.1963 0.3589 0.8846  3 Pd 3.03-3.34
Ac 0.8037 0.6411 0.1154  3 Pd 3.03-3.34
Ac 0.8037 0.8589 0.6154  3 Pd 3.03-3.34
Pr 0.3281 0.6309 0.6369  3 Pd 2.96-3.12
Pr 0.3281 0.8691 0.1369  3 Pd 2.96-3.12
Pr 0.6719 0.1309 0.8631  3 Pd 2.96-3.12
Pr 0.6719 0.3691 0.3631  3 Pd 2.96-3.12
Pd 0.3254 0.6354 0.3664  1 Pd 2.96, 3 Pr 2.96-3.12, 2 Ac 3.03-3.14
Pd 0.3254 0.8646 0.8664  1 Pd 2.96, 3 Pr 2.96-3.12, 2 Ac 3.03-3.14
Pd 0.6746 0.1354 0.1336  1 Pd 2.96, 3 Pr 2.96-3.12, 2 Ac 3.03-3.14
Pd 0.6746 0.3646 0.6336  1 Pd 2.96, 3 Pr 2.96-3.12, 2 Ac 3.03-3.14

=====

Entry 7:
Density functional theory data (PBE-GGA) for Ac2PrPd3 after structural relaxation.

Values from the calculation:
- DFT formation energy (meV per atom) = -735
- crystal system = monoclinic

a b c (Å): 7.5515 7.5515 8.7181
angles (deg): 106.86 106.86 48.17
With the nearest neighbours (Å) after each atom.
Fractional positions:
Ac 0.1666 0.1676 0.0835  6 Pd 3.08-3.13
Ac 0.1676 0.1666 0.5835  6 Pd 3.08-3.13
Ac 0.8324 0.8334 0.4165  6 Pd 3.08-3.13
Ac 0.8334 0.8324 0.9165  6 Pd 3.08-3.13
Pr 0.4990 0.5010 0.7500  6 Pd 3.03-3.08
Pr 0.5010 0.4990 0.2500  6 Pd 3.03-3.08
Pd 0.0010 0.9990 0.2500  2 Pr 3.08, 4 Ac 3.08-3.09
Pd 0.3383 0.3395 0.4194  2 Pr 3.03, 4 Ac 3.08-3.13
Pd 0.3395 0.3383 0.9194  2 Pr 3.03, 4 Ac 3.08-3.13
Pd 0.6605 0.6617 0.0806  2 Pr 3.03, 4 Ac 3.08-3.13
Pd 0.6617 0.6605 0.5806  2 Pr 3.03, 4 Ac 3.08-3.13
Pd 0.9990 0.0010 0.7500  2 Pr 3.08, 4 Ac 3.08-3.09

=====

Entry 8:
Density functional theory data (PBE-GGA) for AcPr2Pd2 after structural relaxation.

Values from the calculation:
- DFT formation energy (meV per atom) = -581
- crystal system = monoclinic

a b c (Å): 5.4795 4.9800 11.1215
angles (deg): 90.00 95.83 90.00
With the nearest neighbours (Å) after each atom.
Fractional positions:
Ac 0.1909 0.2500 0.2290  3 Pd 3.17-3.41
Ac 0.8091 0.7500 0.7710  3 Pd 3.17-3.41
Pr 0.2482 0.7500 0.4980  4 Pd 2.87-3.08
Pr 0.3316 0.2500 0.8892  5 Pd 2.90-3.08
Pr 0.6684 0.7500 0.1108  5 Pd 2.90-3.08
Pr 0.7518 0.2500 0.5020  4 Pd 2.87-3.08
Pd 0.1549 0.7500 0.0180  4 Pr 2.90-3.08, 2 Pd 3.02, 1 Ac 3.17
Pd 0.2761 0.2500 0.6273  5 Pr 2.87-3.08
Pd 0.7239 0.7500 0.3727  5 Pr 2.87-3.08
Pd 0.8451 0.2500 0.9820  4 Pr 2.90-3.08, 2 Pd 3.02, 1 Ac 3.17

=====

Entry 9:
Density functional theory data (PBE-GGA) for Ac5PrPd4 after structural relaxation.

Values from the calculation:
- DFT formation energy (meV per atom) = -580
- crystal system = monoclinic

a b c (Å): 9.7747 9.7747 8.6226
angles (deg): 104.11 104.11 25.98
With the nearest neighbours (Å) after each atom.
Fractional positions:
Ac 0.0000 0.0000 0.0000  4 Pd 3.08
Ac 0.3336 0.3336 0.6522  4 Pd 3.06-3.08
Ac 0.3366 0.3366 0.1646  3 Pd 3.02-3.03
Ac 0.6634 0.6634 0.8354  3 Pd 3.02-3.03
Ac 0.6664 0.6664 0.3478  4 Pd 3.06-3.08
Pr 0.0000 0.0000 0.5000  6 Pd 3.08-3.09
Pd 0.1674 0.1674 0.5959  5 Ac 3.03-3.08, 1 Pr 3.09
Pd 0.5002 0.5002 0.2498  4 Ac 3.02-3.08, 2 Pr 3.08
Pd 0.4998 0.4998 0.7502  4 Ac 3.02-3.08, 2 Pr 3.08
Pd 0.8326 0.8326 0.4041  5 Ac 3.03-3.08, 1 Pr 3.09

=====

Entry 10:
Density functional theory data (PBE-GGA) for AcPrPd after structural relaxation.

Values from the calculation:
- DFT formation energy (meV per atom) = -428
- crystal system = triclinic
- distance to the lowest polymorph of the same formula (meV/atom) = 4

a b c (Å): 3.7907 7.1385 7.5047
angles (deg): 74.11 89.99 74.68
With the nearest neighbours (Å) after each atom.
Fractional positions:
Ac 0.1392 0.2233 0.0753  4 Pd 3.23-3.32
Ac 0.8608 0.7767 0.9247  4 Pd 3.23-3.32
Pr 0.1319 0.2373 0.5618  4 Pd 3.11-3.17, 1 Pr 3.47
Pr 0.8681 0.7627 0.4382  4 Pd 3.11-3.17, 1 Pr 3.47
Pd 0.4925 0.5147 0.2560  4 Pr 3.11-3.17, 4 Ac 3.23-3.32
Pd 0.5075 0.4853 0.7440  4 Pr 3.11-3.17, 4 Ac 3.23-3.32

=====

Entry 11:
Density functional theory data (PBE-GGA) for Ac2PrPd9 after structural relaxation.

Values from the calculation:
- DFT formation energy (meV per atom) = -724
- crystal system = tetragonal
- distance to the lowest polymorph of the same formula (meV/atom) = 0

a b c (Å): 4.2868 4.2868 12.8510
angles (deg): 90.00 90.00 90.00
With the nearest neighbours (Å) after each atom.
Fractional positions:
Ac 0.0000 0.0000 0.1692  12 Pd 3.03-3.05
Ac 0.0000 0.0000 0.8308  12 Pd 3.03-3.05
Pr 0.0000 0.0000 0.5000  12 Pd 2.99-3.03
Pd 0.0000 0.5000 0.0000  8 Pd 3.03-3.06, 4 Ac 3.05
Pd 0.0000 0.5000 0.3378  2 Pr 2.99, 8 Pd 2.99-3.04, 2 Ac 3.05
Pd 0.0000 0.5000 0.6622  2 Pr 2.99, 8 Pd 2.99-3.04, 2 Ac 3.05
Pd 0.5000 0.0000 0.0000  8 Pd 3.03-3.06, 4 Ac 3.05
Pd 0.5000 0.0000 0.3378  2 Pr 2.99, 8 Pd 2.99-3.04, 2 Ac 3.05
Pd 0.5000 0.0000 0.6622  2 Pr 2.99, 8 Pd 2.99-3.04, 2 Ac 3.05
Pd 0.5000 0.5000 0.1699  4 Ac 3.03, 8 Pd 3.04-3.06
Pd 0.5000 0.5000 0.5000  8 Pd 2.99, 4 Pr 3.03
Pd 0.5000 0.5000 0.8301  4 Ac 3.03, 8 Pd 3.04-3.06

=====

Which total DFT energy (no corrections) belongs to each record? In order, -5.49 -5.12 -4.89 -5.66 -5.03 -5.13 -5.50 -5.39 -5.19 -5.12 -5.70 eV/atom.
Which DOS at the Fermi energy belongs to each record? In order, 0.789 1.015 1.464 0.698 1.523 1.147 0.754 0.963 0.906 1.400 0.685 states/eV/atom.